# 1
Material: Ac6Ge2Sb3Cl
Method: DFT, PBE-GGA
State: optimized geometry

Calculated total energy: -5.13 eV/atom
Energy relative to the elements, uncorrected: -1.123 eV/atom

```
data_Ac6Ge2Sb3Cl
_chemical_formula_sum 'Ac6 Ge2 Sb3 Cl1'
_cell_length_a 4.6817
_cell_length_b 9.3917
_cell_length_c 10.4807
_cell_angle_alpha 102.96
_cell_angle_beta 102.91
_cell_angle_gamma 90.00
_symmetry_space_group_name_H-M 'P 1'
_symmetry_Int_Tables_number 1
_symmetry_space_group_name_Hall 'P 1'
loop_
_atom_site_label
_atom_site_type_symbol
_atom_site_fract_x
_atom_site_fract_y
_atom_site_fract_z
Ac1 Ac 0.3302 0.9030 0.6604
Ac2 Ac 0.0064 0.2591 0.0128
Ge1 Ge 0.8360 0.6721 0.6719
Ge2 Ge 0.1640 0.3279 0.3281
Ac3 Ac 0.9936 0.7409 0.9872
Ac4 Ac 0.6708 0.5754 0.3416
Sb1 Sb 0.5000 0.5000 0.0000
Ac5 Ac 0.6698 0.0970 0.3396
Cl1 Cl 0.5000 0.0000 0.0000
Ac6 Ac 0.3292 0.4246 0.6584
Sb2 Sb 0.8387 0.1651 0.6774
Sb3 Sb 0.1613 0.8349 0.3226
```



# 2
Material: Ac4GeSb2Cl
Method: DFT, PBE-GGA
State: optimized geometry

Calculated total energy: -5.11 eV/atom
Energy relative to the elements, uncorrected: -1.213 eV/atom

```
data_Ac4GeSb2Cl
_chemical_formula_sum 'Ac4 Ge1 Sb2 Cl1'
_cell_length_a 4.6947
_cell_length_b 8.0577
_cell_length_c 8.0372
_cell_angle_alpha 70.64
_cell_angle_beta 90.00
_cell_angle_gamma 90.00
_symmetry_space_group_name_H-M 'P 1'
_symmetry_Int_Tables_number 1
_symmetry_space_group_name_Hall 'P 1'
loop_
_atom_site_label
_atom_site_type_symbol
_atom_site_fract_x
_atom_site_fract_y
_atom_site_fract_z
Ge1 Ge 0.0000 0.5000 0.5000
Sb1 Sb 0.5000 0.0000 0.5000
Ac1 Ac 0.0000 0.7469 0.7384
Sb2 Sb 0.0000 0.0000 0.0000
Ac2 Ac 0.5000 0.7378 0.2614
Ac3 Ac 0.0000 0.2531 0.2616
Cl1 Cl 0.5000 0.5000 0.0000
Ac4 Ac 0.5000 0.2622 0.7386
```



# 3
Material: Ac4Ge2SbCl
Method: DFT, PBE-GGA
State: optimized geometry

Calculated total energy: -5.04 eV/atom
Energy relative to the elements, uncorrected: -1.086 eV/atom

```
data_Ac4Ge2SbCl
_chemical_formula_sum 'Ac4 Ge2 Sb1 Cl1'
_cell_length_a 6.5265
_cell_length_b 6.5265
_cell_length_c 7.9640
_cell_angle_alpha 114.18
_cell_angle_beta 114.19
_cell_angle_gamma 90.01
_symmetry_space_group_name_H-M 'P 1'
_symmetry_Int_Tables_number 1
_symmetry_space_group_name_Hall 'P 1'
loop_
_atom_site_label
_atom_site_type_symbol
_atom_site_fract_x
_atom_site_fract_y
_atom_site_fract_z
Sb1 Sb 0.9374 0.9374 0.0000
Ac1 Ac 0.6863 0.6863 0.4985
Cl1 Cl 0.4371 0.4371 0.0000
Ge1 Ge 0.6870 0.1870 0.5000
Ac2 Ac 0.4373 0.9373 0.0000
Ge2 Ge 0.1870 0.6870 0.5000
Ac3 Ac 0.1879 0.1879 0.5015
Ac4 Ac 0.9373 0.4373 0.0000
```



# 4
Material: Ac4Ge2SeCl
Method: DFT, PBE-GGA
State: optimized geometry

Calculated total energy: -5.17 eV/atom
Energy relative to the elements, uncorrected: -1.296 eV/atom

```
data_Ac4Ge2SeCl
_chemical_formula_sum 'Ac4 Ge2 Se1 Cl1'
_cell_length_a 6.3955
_cell_length_b 6.3954
_cell_length_c 7.7978
_cell_angle_alpha 114.21
_cell_angle_beta 114.21
_cell_angle_gamma 90.00
_symmetry_space_group_name_H-M 'P 1'
_symmetry_Int_Tables_number 1
_symmetry_space_group_name_Hall 'P 1'
loop_
_atom_site_label
_atom_site_type_symbol
_atom_site_fract_x
_atom_site_fract_y
_atom_site_fract_z
Ge1 Ge 0.6872 0.1872 0.5000
Ac1 Ac 0.9371 0.4371 0.0000
Ac2 Ac 0.1838 0.1838 0.4932
Cl1 Cl 0.4372 0.4372 0.0000
Ac3 Ac 0.6906 0.6906 0.5068
Ge2 Ge 0.1872 0.6872 0.5000
Ac4 Ac 0.4371 0.9371 0.0000
Se1 Se 0.9371 0.9371 0.0000
```



# 5
Material: Ac6SiGe2Cl3
Method: DFT, PBE-GGA
State: optimized geometry

Calculated total energy: -4.95 eV/atom
Energy relative to the elements, uncorrected: -1.216 eV/atom

```
data_Ac6SiGe2Cl3
_chemical_formula_sum 'Ac6 Si1 Ge2 Cl3'
_cell_length_a 4.5974
_cell_length_b 8.8561
_cell_length_c 9.9850
_cell_angle_alpha 99.93
_cell_angle_beta 103.31
_cell_angle_gamma 90.00
_symmetry_space_group_name_H-M 'P 1'
_symmetry_Int_Tables_number 1
_symmetry_space_group_name_Hall 'P 1'
loop_
_atom_site_label
_atom_site_type_symbol
_atom_site_fract_x
_atom_site_fract_y
_atom_site_fract_z
Cl1 Cl 0.8329 0.1671 0.6658
Ac1 Ac 0.3383 0.9094 0.6767
Ge1 Ge 0.1668 0.3331 0.3335
Si1 Si 0.5000 0.0000 0.0000
Cl2 Cl 0.1671 0.8329 0.3342
Ge2 Ge 0.8332 0.6669 0.6665
Ac2 Ac 0.9970 0.7625 0.9940
Ac3 Ac 0.6700 0.5736 0.3399
Ac4 Ac 0.0030 0.2375 0.0060
Ac5 Ac 0.6617 0.0906 0.3233
Cl3 Cl 0.5000 0.5000 0.0000
Ac6 Ac 0.3300 0.4264 0.6601
```



# 6
Material: Ac6Si2GeCl3
Method: DFT, PBE-GGA
State: optimized geometry

Calculated total energy: -4.99 eV/atom
Energy relative to the elements, uncorrected: -1.187 eV/atom

```
data_Ac6Si2GeCl3
_chemical_formula_sum 'Ac6 Si2 Ge1 Cl3'
_cell_length_a 4.5844
_cell_length_b 8.8713
_cell_length_c 9.9926
_cell_angle_alpha 100.31
_cell_angle_beta 103.26
_cell_angle_gamma 90.00
_symmetry_space_group_name_H-M 'P 1'
_symmetry_Int_Tables_number 1
_symmetry_space_group_name_Hall 'P 1'
loop_
_atom_site_label
_atom_site_type_symbol
_atom_site_fract_x
_atom_site_fract_y
_atom_site_fract_z
Si1 Si 0.1667 0.3336 0.3335
Ac1 Ac 0.6638 0.0965 0.3276
Ac2 Ac 0.0050 0.2419 0.0101
Cl1 Cl 0.8340 0.1665 0.6680
Ac3 Ac 0.6712 0.5725 0.3423
Ge1 Ge 0.5000 0.0000 0.0000
Si2 Si 0.8333 0.6664 0.6665
Ac4 Ac 0.9950 0.7581 0.9899
Cl2 Cl 0.5000 0.5000 0.0000
Cl3 Cl 0.1660 0.8335 0.3320
Ac5 Ac 0.3362 0.9035 0.6724
Ac6 Ac 0.3288 0.4275 0.6577
```



# 7
Material: Ac8Si3GeCl4
Method: DFT, PBE-GGA
State: optimized geometry

Calculated total energy: -5.00 eV/atom
Energy relative to the elements, uncorrected: -1.180 eV/atom

```
data_Ac8Si3GeCl4
_chemical_formula_sum 'Ac8 Si3 Ge1 Cl4'
_cell_length_a 9.1591
_cell_length_b 8.8825
_cell_length_c 9.1591
_cell_angle_alpha 121.04
_cell_angle_beta 120.00
_cell_angle_gamma 90.00
_symmetry_space_group_name_H-M 'P 1'
_symmetry_Int_Tables_number 1
_symmetry_space_group_name_Hall 'P 1'
loop_
_atom_site_label
_atom_site_type_symbol
_atom_site_fract_x
_atom_site_fract_y
_atom_site_fract_z
Ge1 Ge 0.0000 0.5000 0.0000
Ac1 Ac 0.2588 0.2694 0.0141
Cl1 Cl 0.0000 0.0000 0.5000
Ac2 Ac 0.7553 0.2694 0.0141
Si1 Si 0.0000 0.5000 0.5000
Ac3 Ac 0.2567 0.2701 0.5133
Cl2 Cl 0.5000 0.0000 0.5000
Si2 Si 0.5000 0.5000 0.0000
Ac4 Ac 0.7433 0.7299 0.4867
Ac5 Ac 0.2447 0.7307 0.4894
Cl3 Cl 0.5000 0.0000 0.0000
Ac6 Ac 0.2447 0.7306 0.9859
Ac7 Ac 0.7553 0.2693 0.5106
Ac8 Ac 0.7412 0.7306 0.9859
Si3 Si 0.5000 0.5000 0.5000
Cl4 Cl 0.0000 0.0000 0.0000
```



# 8
Material: Ac4Si2GeCl
Method: DFT, PBE-GGA
State: optimized geometry

Calculated total energy: -5.08 eV/atom
Energy relative to the elements, uncorrected: -0.859 eV/atom

```
data_Ac4Si2GeCl
_chemical_formula_sum 'Ac4 Si2 Ge1 Cl1'
_cell_length_a 6.3941
_cell_length_b 6.3941
_cell_length_c 7.8597
_cell_angle_alpha 113.91
_cell_angle_beta 113.91
_cell_angle_gamma 90.21
_symmetry_space_group_name_H-M 'P 1'
_symmetry_Int_Tables_number 1
_symmetry_space_group_name_Hall 'P 1'
loop_
_atom_site_label
_atom_site_type_symbol
_atom_site_fract_x
_atom_site_fract_y
_atom_site_fract_z
Cl1 Cl 0.4375 0.4375 0.0000
Ac1 Ac 0.1828 0.1828 0.4918
Ac2 Ac 0.9373 0.4375 0.0000
Ac3 Ac 0.4375 0.9373 0.0000
Si1 Si 0.6868 0.1868 0.5000
Ge1 Ge 0.9376 0.9376 0.0000
Si2 Si 0.1868 0.6868 0.5000
Ac4 Ac 0.6910 0.6910 0.5082
```



# 9
Material: Ac4SiGe2Cl
Method: DFT, PBE-GGA
State: optimized geometry

Calculated total energy: -5.03 eV/atom
Energy relative to the elements, uncorrected: -0.916 eV/atom

```
data_Ac4SiGe2Cl
_chemical_formula_sum 'Ac4 Si1 Ge2 Cl1'
_cell_length_a 6.4031
_cell_length_b 6.4031
_cell_length_c 7.8976
_cell_angle_alpha 113.92
_cell_angle_beta 113.92
_cell_angle_gamma 90.00
_symmetry_space_group_name_H-M 'P 1'
_symmetry_Int_Tables_number 1
_symmetry_space_group_name_Hall 'P 1'
loop_
_atom_site_label
_atom_site_type_symbol
_atom_site_fract_x
_atom_site_fract_y
_atom_site_fract_z
Cl1 Cl 0.4375 0.4375 0.0000
Si1 Si 0.9374 0.9374 0.0000
Ac1 Ac 0.4373 0.9372 0.0000
Ge1 Ge 0.6870 0.1870 0.5000
Ge2 Ge 0.1870 0.6870 0.5000
Ac2 Ac 0.1800 0.1800 0.4861
Ac3 Ac 0.9372 0.4373 0.0000
Ac4 Ac 0.6939 0.6939 0.5139
```



# 10
Material: Ac4SnGeCl2
Method: DFT, PBE-GGA
State: optimized geometry

Calculated total energy: -4.78 eV/atom
Energy relative to the elements, uncorrected: -1.185 eV/atom

```
data_Ac4SnGeCl2
_chemical_formula_sum 'Ac4 Sn1 Ge1 Cl2'
_cell_length_a 4.7009
_cell_length_b 7.5166
_cell_length_c 8.1937
_cell_angle_alpha 68.78
_cell_angle_beta 90.00
_cell_angle_gamma 90.00
_symmetry_space_group_name_H-M 'P 1'
_symmetry_Int_Tables_number 1
_symmetry_space_group_name_Hall 'P 1'
loop_
_atom_site_label
_atom_site_type_symbol
_atom_site_fract_x
_atom_site_fract_y
_atom_site_fract_z
Sn1 Sn 0.5000 0.5000 0.0000
Ge1 Ge 0.0000 0.5000 0.5000
Ac1 Ac 0.0000 0.7464 0.7385
Ac2 Ac 0.5000 0.2590 0.7365
Cl1 Cl 0.0000 0.0000 0.0000
Cl2 Cl 0.5000 0.0000 0.5000
Ac3 Ac 0.5000 0.7410 0.2635
Ac4 Ac 0.0000 0.2536 0.2615
```